Arrangement a

VASP calculation (GGA-PBE) on a relaxed Nd2DyTl crystal.

Total moment ... 0.00 μB per atom
Density of states at the Fermi level ... 8.2 states/eV/cell
Space-group type ... No. 11

POSCAR file:
```
Nd2DyTl
1.0
6.7745 0.0000 0.0000
0.0000 5.5509 0.0000
-1.0954 0.0000 6.7668
Nd Dy Tl
4 2 2
Direct
0.1304 0.2500 0.2204 Nd
0.3407 0.7500 0.5743 Nd
0.6593 0.2500 0.4257 Nd
0.8696 0.7500 0.7796 Nd
0.4211 0.7500 0.0929 Dy
0.5789 0.2500 0.9071 Dy
0.1178 0.2500 0.7342 Tl
0.8822 0.7500 0.2658 Tl
```

---

Arrangement b

VASP calculation (GGA-PBE) on a relaxed Nd2DyTl crystal.

Total moment ... 0.00 μB per atom
Density of states at the Fermi level ... 5.4 states/eV/cell
Space-group type ... No. 123

POSCAR file:
```
Nd2DyTl
1.0
3.6734 0.0000 0.0000
0.0000 3.6734 0.0000
0.0000 0.0000 9.4853
Nd Dy Tl
2 1 1
Direct
0.0000 0.0000 0.2309 Nd
0.0000 0.0000 0.7691 Nd
0.5000 0.5000 0.5000 Dy
0.5000 0.5000 0.0000 Tl
```

---

Arrangement c

VASP calculation (GGA-PBE) on a relaxed Nd2DyTl crystal.

Total moment ... 0.00 μB per atom
Density of states at the Fermi level ... 8.8 states/eV/cell
Space-group type ... No. 74

POSCAR file:
```
Nd2DyTl
1.0
-3.4289 4.3918 4.1200
3.4289 -4.3918 4.1200
3.4289 4.3918 -4.1200
Nd Dy Tl
4 2 2
Direct
0.2983 0.0000 0.7983 Nd
0.2983 0.5000 0.2983 Nd
0.7017 0.0000 0.2017 Nd
0.7017 0.5000 0.7017 Nd
0.1836 0.4336 0.7500 Dy
0.8164 0.5664 0.2500 Dy
0.1992 0.9492 0.2500 Tl
0.8008 0.0508 0.7500 Tl
```

---

Which of them is most stable? Easy: arrangement a.

---

Arrangement a

VASP calculation (GGA-PBE) on a relaxed NdDy2Tl crystal.

Total moment ... 0.00 μB per atom
Density of states at the Fermi level ... 4.2 states/eV/cell
Space-group type ... No. 166

POSCAR file:
```
NdDy2Tl
1.0
1.8012 1.0399 11.0396
-1.8012 1.0399 11.0396
0.0000 -2.0799 11.0396
Nd Dy Tl
1 2 1
Direct
0.0000 0.0000 0.0000 Nd
0.2452 0.2452 0.2452 Dy
0.7548 0.7548 0.7548 Dy
0.5000 0.5000 0.5000 Tl
```

---

Arrangement b

VASP calculation (GGA-PBE) on a relaxed NdDy2Tl crystal.

Total moment ... 0.40 μB per atom
Density of states at the Fermi level ... 5.5 states/eV/cell
Space-group type ... No. 225

POSCAR file:
```
NdDy2Tl
1.0
0.0000 3.8941 3.8941
3.8941 0.0000 3.8941
3.8941 3.8941 0.0000
Nd Dy Tl
1 2 1
Direct
0.0000 0.0000 0.0000 Nd
0.2500 0.2500 0.2500 Dy
0.7500 0.7500 0.7500 Dy
0.5000 0.5000 0.5000 Tl
```

---

Arrangement c

VASP calculation (GGA-PBE) on a relaxed NdDy2Tl crystal.

Total moment ... 0.00 μB per atom
Density of states at the Fermi level ... 4.2 states/eV/cell
Space-group type ... No. 123

POSCAR file:
```
NdDy2Tl
1.0
3.6516 0.0000 0.0000
0.0000 3.6516 0.0000
0.0000 0.0000 9.1835
Nd Dy Tl
1 2 1
Direct
0.0000 0.0000 0.0000 Nd
0.5000 0.5000 0.2763 Dy
0.5000 0.5000 0.7237 Dy
0.0000 0.0000 0.5000 Tl
```

---

Arrangement d

VASP calculation (GGA-PBE) on a relaxed NdDy2Tl crystal.

Total moment ... 0.00 μB per atom
Density of states at the Fermi level ... 8.4 states/eV/cell
Space-group type ... No. 11

POSCAR file:
```
NdDy2Tl
1.0
4.7469 0.0000 0.0000
0.0000 4.8492 0.0000
-2.3614 0.0000 10.9735
Nd Dy Tl
2 4 2
Direct
0.1925 0.2500 0.3860 Nd
0.8075 0.7500 0.6140 Nd
0.0572 0.7500 0.1141 Dy
0.4360 0.7500 0.8720 Dy
0.5640 0.2500 0.1280 Dy
0.9428 0.2500 0.8859 Dy
0.3390 0.2500 0.6756 Tl
0.6610 0.7500 0.3244 Tl
```

---

Which of them is most stable? Easy: arrangement c.

---

Arrangement a

VASP calculation (GGA-PBE) on a relaxed NdDy2Tl crystal.

Total moment ... 0.13 μB per atom
Density of states at the Fermi level ... 5.8 states/eV/cell
Space-group type ... No. 123

POSCAR file:
```
NdDy2Tl
1.0
4.9260 0.0000 0.0000
0.0000 4.9260 0.0000
0.0000 0.0000 4.8519
Nd Dy Tl
1 2 1
Direct
0.0000 0.0000 0.0000 Nd
0.0000 0.5000 0.5000 Dy
0.5000 0.0000 0.5000 Dy
0.5000 0.5000 0.0000 Tl
```

---

Arrangement b

VASP calculation (GGA-PBE) on a relaxed NdDy2Tl crystal.

Total moment ... 0.00 μB per atom
Density of states at the Fermi level ... 5.5 states/eV/cell
Space-group type ... No. 160

POSCAR file:
```
NdDy2Tl
1.0
1.8358 1.0599 10.8050
-1.8358 1.0599 10.8050
0.0000 -2.1198 10.8050
Nd Dy Tl
1 2 1
Direct
0.0000 0.0000 0.0000 Nd
0.2427 0.2427 0.2427 Dy
0.4235 0.4235 0.4235 Dy
0.8333 0.8333 0.8333 Tl
```

---

Which of them is most stable? Easy: arrangement a.

---

Arrangement a

VASP calculation (GGA-PBE) on a relaxed NdDy6Tl5 crystal.

Total moment ... 0.00 μB per atom
Density of states at the Fermi level ... 12.0 states/eV/cell
Space-group type ... No. 71

POSCAR file:
```
NdDy6Tl5
1.0
-2.5239 4.3841 7.6546
2.5239 -4.3841 7.6546
2.5239 4.3841 -7.6546
Nd Dy Tl
1 6 5
Direct
0.0000 0.0000 0.0000 Nd
0.0949 0.8296 0.2652 Dy
0.2759 0.5000 0.7759 Dy
0.4356 0.1704 0.2652 Dy
0.5644 0.8296 0.7348 Dy
0.7241 0.5000 0.2241 Dy
0.9051 0.1704 0.7348 Dy
0.1495 0.6495 0.5000 Tl
0.3192 0.3192 0.0000 Tl
0.5000 0.0000 0.5000 Tl
0.6808 0.6808 0.0000 Tl
0.8505 0.3505 0.5000 Tl
```

---

Arrangement b

VASP calculation (GGA-PBE) on a relaxed NdDy6Tl5 crystal.

Total moment ... 0.13 μB per atom
Density of states at the Fermi level ... 13.3 states/eV/cell
Space-group type ... No. 12

POSCAR file:
```
NdDy6Tl5
1.0
3.1420 -5.4673 0.0000
3.1420 5.4673 0.0000
-2.1353 0.0000 10.3150
Nd Dy Tl
1 6 5
Direct
0.0000 0.0000 0.0000 Nd
0.0863 0.4350 0.2594 Dy
0.2628 0.2628 0.7430 Dy
0.4350 0.0863 0.2594 Dy
0.5650 0.9137 0.7406 Dy
0.7372 0.7372 0.2570 Dy
0.9137 0.5650 0.7406 Dy
0.1624 0.8376 0.5000 Tl
0.3321 0.6679 0.0000 Tl
0.5000 0.5000 0.5000 Tl
0.6679 0.3321 0.0000 Tl
0.8376 0.1624 0.5000 Tl
```

---

Which of them is most stable? Easy: arrangement a.

---

Arrangement a

VASP calculation (GGA-PBE) on a relaxed Nd4DyTl2 crystal.

Total moment ... 0.00 μB per atom
Density of states at the Fermi level ... 12.1 states/eV/cell
Space-group type ... No. 166

POSCAR file:
```
Nd4DyTl2
1.0
2.8055 1.6198 9.0257
-2.8055 1.6198 9.0257
0.0000 -3.2395 9.0257
Nd Dy Tl
4 1 2
Direct
0.1305 0.1305 0.1305 Nd
0.2679 0.2679 0.2679 Nd
0.7321 0.7321 0.7321 Nd
0.8695 0.8695 0.8695 Nd
0.5000 0.5000 0.5000 Dy
0.3861 0.3861 0.3861 Tl
0.6139 0.6139 0.6139 Tl
```

---

Arrangement b

VASP calculation (GGA-PBE) on a relaxed Nd4DyTl2 crystal.

Total moment ... 0.00 μB per atom
Density of states at the Fermi level ... 10.2 states/eV/cell
Space-group type ... No. 12

POSCAR file:
```
Nd4DyTl2
1.0
3.4348 -5.3571 0.0000
3.4348 5.3571 0.0000
-0.7566 0.0000 6.2169
Nd Dy Tl
4 1 2
Direct
0.0000 0.5000 0.5000 Nd
0.2100 0.7900 0.0000 Nd
0.5000 0.0000 0.5000 Nd
0.7900 0.2100 0.0000 Nd
0.0000 0.0000 0.5000 Dy
0.4229 0.4229 0.2335 Tl
0.5771 0.5771 0.7665 Tl
```

---

Which of them is most stable? Easy: arrangement a.

---

Arrangement a

VASP calculation (GGA-PBE) on a relaxed Nd4Dy5Tl crystal.

Total moment ... 0.00 μB per atom
Density of states at the Fermi level ... 16.2 states/eV/cell
Space-group type ... No. 123

POSCAR file:
```
Nd4Dy5Tl
1.0
4.1705 0.0000 0.0000
0.0000 4.1705 0.0000
0.0000 0.0000 18.3728
Nd Dy Tl
4 5 1
Direct
0.0000 0.0000 0.1026 Nd
0.0000 0.0000 0.3039 Nd
0.0000 0.0000 0.6961 Nd
0.0000 0.0000 0.8974 Nd
0.5000 0.5000 0.0000 Dy
0.5000 0.5000 0.2078 Dy
0.5000 0.5000 0.4123 Dy
0.5000 0.5000 0.5877 Dy
0.5000 0.5000 0.7922 Dy
0.0000 0.0000 0.5000 Tl
```

---

Arrangement b

VASP calculation (GGA-PBE) on a relaxed Nd4Dy5Tl crystal.

Total moment ... 0.00 μB per atom
Density of states at the Fermi level ... 14.2 states/eV/cell
Space-group type ... No. 107

POSCAR file:
```
Nd4Dy5Tl
1.0
-5.3888 5.3888 2.9286
5.3888 -5.3888 2.9286
5.3888 5.3888 -2.9286
Nd Dy Tl
4 5 1
Direct
0.0000 0.3128 0.3128 Nd
0.0000 0.6872 0.6872 Nd
0.3128 0.0000 0.3128 Nd
0.6872 0.0000 0.6872 Nd
0.3240 0.3240 0.6311 Dy
0.3240 0.6930 0.0000 Dy
0.6930 0.3240 0.0000 Dy
0.6930 0.6930 0.3689 Dy
0.8029 0.8029 0.0000 Dy
0.2852 0.2852 0.0000 Tl
```

---

Which of them is most stable? Easy: arrangement a.

---

Arrangement a

VASP calculation (GGA-PBE) on a relaxed Nd4Dy3Tl crystal.

Total moment ... 0.00 μB per atom
Density of states at the Fermi level ... 22.9 states/eV/cell
Space-group type ... No. 31

POSCAR file:
```
Nd4Dy3Tl
1.0
10.1601 0.0000 0.0000
0.0000 7.0467 0.0000
0.0000 0.0000 7.1394
Nd Dy Tl
8 6 2
Direct
0.0000 0.0003 0.0000 Nd
0.0000 0.4989 0.5008 Nd
0.2495 0.7489 0.2505 Nd
0.2505 0.2511 0.7505 Nd
0.5000 0.9997 0.5000 Nd
0.5000 0.5011 0.0008 Nd
0.7495 0.2511 0.7505 Nd
0.7505 0.7489 0.2505 Nd
0.0000 0.4998 0.0003 Dy
0.2501 0.2437 0.2504 Dy
0.2499 0.7563 0.7504 Dy
0.5000 0.5002 0.5003 Dy
0.7499 0.2437 0.2504 Dy
0.7501 0.7563 0.7504 Dy
0.0000 0.9997 0.5005 Tl
0.5000 0.0003 0.0005 Tl
```

---

Arrangement b

VASP calculation (GGA-PBE) on a relaxed Nd4Dy3Tl crystal.

Total moment ... 0.00 μB per atom
Density of states at the Fermi level ... 20.1 states/eV/cell
Space-group type ... No. 31

POSCAR file:
```
Nd4Dy3Tl
1.0
11.3623 0.0000 0.0000
0.0000 7.1899 0.0000
0.0000 0.0000 6.2724
Nd Dy Tl
8 6 2
Direct
0.0000 0.1295 0.0000 Nd
0.0000 0.8689 0.4438 Nd
0.2286 0.8653 0.8139 Nd
0.2714 0.1347 0.3139 Nd
0.5000 0.1311 0.9438 Nd
0.5000 0.8705 0.5000 Nd
0.7286 0.1347 0.3139 Nd
0.7714 0.8653 0.8139 Nd
0.0000 0.3727 0.4763 Dy
0.2459 0.3844 0.7972 Dy
0.2541 0.6156 0.2972 Dy
0.5000 0.6273 0.9763 Dy
0.7459 0.6156 0.2972 Dy
0.7541 0.3844 0.7972 Dy
0.0000 0.6046 0.9794 Tl
0.5000 0.3954 0.4794 Tl
```

---

Which of them is most stable? Easy: arrangement b.

---

Arrangement a

VASP calculation (GGA-PBE) on a relaxed NdDyTl4 crystal.

Total moment ... 0.00 μB per atom
Density of states at the Fermi level ... 2.7 states/eV/cell
Space-group type ... No. 6

POSCAR file:
```
NdDyTl4
1.0
3.9118 0.0000 0.0000
0.0000 5.0610 0.0000
-0.0342 0.0000 8.6809
Nd Dy Tl
1 1 4
Direct
0.0000 0.0000 0.0000 Nd
0.0185 0.5000 0.4879 Dy
0.3466 0.0000 0.6618 Tl
0.3918 0.5000 0.1597 Tl
0.6448 0.0000 0.3369 Tl
0.6484 0.5000 0.8185 Tl
```

---

Arrangement b

VASP calculation (GGA-PBE) on a relaxed NdDyTl4 crystal.

Total moment ... 0.00 μB per atom
Density of states at the Fermi level ... 5.0 states/eV/cell
Space-group type ... No. 216

POSCAR file:
```
NdDyTl4
1.0
0.0000 4.4091 4.4091
4.4091 0.0000 4.4091
4.4091 4.4091 0.0000
Nd Dy Tl
1 1 4
Direct
0.0000 0.0000 0.0000 Nd
0.2500 0.2500 0.2500 Dy
0.1252 0.6249 0.6249 Tl
0.6249 0.1252 0.6249 Tl
0.6249 0.6249 0.1252 Tl
0.6249 0.6249 0.6249 Tl
```

---

Which of them is most stable? Easy: arrangement a.